[1]
Density functional theory data (PBE) for an optimized crystal structure of TeIr2Ru.

Values from the calculation:
Total energy = -7.13 eV per atom
Energy relative to the elements, uncorrected = 0.409 eV per atom
DOS(E_F) = 1.01 states/eV/atom

abc: 2.937 3.794 5.896
angles: 90.00 90.00 90.00
Fractional positions:
Te 0.000 0.000 0.000
Ir 0.000 0.000 0.515
Ir 0.500 0.500 0.289
Ru 0.500 0.500 0.736


[2]
Density functional theory data (PBE) for an optimized crystal structure of LaPbCl.

Values from the calculation:
Total energy = -4.17 eV per atom
Energy relative to the elements, uncorrected = -0.678 eV per atom
DOS(E_F) = 1.52 states/eV/atom
Energy relative to the lowest polymorph listed for this composition = 513 meV per atom

abc: 5.049 5.049 5.049
angles: 60.00 60.00 60.00
Fractional positions:
La 0.000 0.000 0.000
Pb 0.500 0.500 0.500
Cl 0.250 0.250 0.250


[3]
Density functional theory data (PBE) for an optimized crystal structure of LiAl6Pd12.

Values from the calculation:
Formation enthalpy at 0 K = -0.67 eV per atom
Total energy = -5.23 eV per atom
DOS(E_F) = 0.43 states/eV/atom

abc: 7.275 7.275 7.275
angles: 110.60 110.60 110.60
Fractional positions:
Li 0.000 0.000 0.000
Al 0.067 0.577 0.354
Al 0.354 0.067 0.577
Al 0.423 0.646 0.933
Al 0.577 0.354 0.067
Al 0.646 0.933 0.423
Al 0.933 0.423 0.646
Pd 0.098 0.170 0.730
Pd 0.170 0.730 0.098
Pd 0.198 0.343 0.476
Pd 0.270 0.902 0.830
Pd 0.343 0.476 0.198
Pd 0.476 0.198 0.343
Pd 0.524 0.802 0.657
Pd 0.657 0.524 0.802
Pd 0.730 0.098 0.169
Pd 0.802 0.657 0.524
Pd 0.831 0.270 0.902
Pd 0.902 0.831 0.270


[4]
Density functional theory data (PBE) for an optimized crystal structure of LiTbDySe3.

Values from the calculation:
Total energy = -5.24 eV per atom
Energy relative to the elements, uncorrected = -1.638 eV per atom
DOS(E_F) = 0.38 states/eV/atom

abc: 8.365 3.953 8.753
angles: 90.00 102.72 90.00
Fractional positions:
Li 0.086 0.250 0.084
Li 0.914 0.750 0.916
Tb 0.186 0.250 0.723
Tb 0.814 0.750 0.277
Dy 0.336 0.750 0.335
Dy 0.664 0.250 0.665
Se 0.091 0.250 0.371
Se 0.223 0.750 0.993
Se 0.423 0.750 0.674
Se 0.577 0.250 0.326
Se 0.777 0.250 0.007
Se 0.909 0.750 0.629


[5]
Density functional theory data (PBE) for an optimized crystal structure of Tb3InPt12.

Values from the calculation:
Formation enthalpy at 0 K = -0.85 eV per atom
Total energy = -6.42 eV per atom
DOS(E_F) = 0.99 states/eV/atom

abc: 4.117 4.117 16.379
angles: 90.00 90.00 90.00
Fractional positions:
Tb 0.000 0.000 0.000
Tb 0.000 0.000 0.252
Tb 0.000 0.000 0.748
In 0.000 0.000 0.500
Pt 0.000 0.500 0.126
Pt 0.000 0.500 0.379
Pt 0.000 0.500 0.621
Pt 0.000 0.500 0.874
Pt 0.500 0.000 0.126
Pt 0.500 0.000 0.379
Pt 0.500 0.000 0.621
Pt 0.500 0.000 0.874
Pt 0.500 0.500 0.000
Pt 0.500 0.500 0.253
Pt 0.500 0.500 0.500
Pt 0.500 0.500 0.747


Look up the DOS(E_F) of the fifth one.
0.99 states/eV/atom


Which of these has the highest DOS(E_F)?
LaPbCl


The highest total energy belongs to which entry?
LaPbCl